# 1
This record from Alexandria describes an optimized crystal structure of BeAs2Pd8. The functional is PBE. Values from VASP.

The structure in Quantum ESPRESSO input format:
```
&SYSTEM
  ibrav = 0, nat = 11, ntyp = 3
/
ATOMIC_SPECIES
Pd 106.42 Pd.upf
As 74.92 As.upf
Be 9.01 Be.upf
CELL_PARAMETERS angstrom
3.832 0.000 -1.166
-1.077 6.233 -3.540
0.062 -0.182 7.083
ATOMIC_POSITIONS crystal
Pd 0.875 0.875 0.749
Pd 0.000 0.687 0.000
Pd 0.337 0.111 0.674
Pd 0.663 0.437 0.326
Pd 0.000 0.313 0.000
Pd 0.663 0.889 0.326
Pd 0.125 0.125 0.251
Pd 0.337 0.563 0.674
As 0.189 0.689 0.377
As 0.811 0.311 0.623
Be 0.500 0.000 0.000
```

Crystal system: orthorhombic
Space-group type: Immm (71)
Volume, Å³/cell: 167.0
ΔH_f (0 K), eV per atom: -0.314
Energy relative to the lowest polymorph listed for this composition, meV per atom: 28

---

# 2
This record from Alexandria describes an optimized crystal structure of Sc4IrPd. The functional is PBE. Values from VASP.

The structure in Quantum ESPRESSO input format:
```
&SYSTEM
  ibrav = 0, nat = 6, ntyp = 3
/
ATOMIC_SPECIES
Sc 44.96 Sc.upf
Pd 106.42 Pd.upf
Ir 192.22 Ir.upf
CELL_PARAMETERS angstrom
-0.993 -4.431 0.040
1.390 -0.273 4.316
-5.986 1.355 2.022
ATOMIC_POSITIONS crystal
Sc 0.001 0.497 0.739
Sc 0.501 0.997 0.257
Sc 0.501 0.997 0.739
Sc 0.001 0.497 0.257
Pd 0.501 0.497 0.998
Ir 0.001 0.997 0.498
```

Crystal system: monoclinic
Space-group type: C2/m (12)
Volume, Å³/cell: 133.3
ΔH_f (0 K), eV per atom: -0.595

---

# 3
This record from Alexandria describes an optimized crystal structure of Na2Pt. The functional is PBE. Values from VASP.

The structure in Quantum ESPRESSO input format:
```
&SYSTEM
  ibrav = 0, nat = 6, ntyp = 2
/
ATOMIC_SPECIES
Na 22.99 Na.upf
Pt 195.08 Pt.upf
CELL_PARAMETERS angstrom
0.372 -3.588 4.056
-3.610 0.101 4.053
-3.676 -3.967 0.460
ATOMIC_POSITIONS crystal
Na 0.125 0.125 0.125
Na 0.125 0.125 0.625
Na 0.125 0.625 0.125
Na 0.625 0.125 0.125
Pt 0.750 0.750 0.750
Pt 0.500 0.500 0.500
```

Crystal system: cubic
Space-group type: Fd-3m (227)
Volume, Å³/cell: 113.1
ΔH_f (0 K), eV per atom: 0.269

---

# 4
This record from Alexandria describes an optimized crystal structure of La2Re. The functional is PBE. Values from VASP.

The structure in Quantum ESPRESSO input format:
```
&SYSTEM
  ibrav = 0, nat = 6, ntyp = 2
/
ATOMIC_SPECIES
Re 186.21 Re.upf
La 138.91 La.upf
CELL_PARAMETERS angstrom
2.180 -7.344 0.000
2.180 7.344 0.000
0.000 0.000 5.137
ATOMIC_POSITIONS crystal
Re 0.229 0.771 0.500
Re 0.815 0.185 0.500
La 0.698 0.302 0.000
La 0.568 0.432 0.500
La 0.994 0.006 0.000
La 0.363 0.637 0.000
```

Crystal system: orthorhombic
Space-group type: Amm2 (38)
Volume, Å³/cell: 164.5
ΔH_f (0 K), eV per atom: 0.364
Energy relative to the lowest polymorph listed for this composition, meV per atom: 207